[1]
Compound: TaMn2FeO8
Source: Alexandria via LeMat-Bulk
Functional: PBE with a Hubbard U
Structure: relaxed

a b c (Å): 6.457 6.483 5.930
angles (deg): 90.00 90.00 90.00
Space group Cmmm (No. 65)
Asymmetric unit:
Ta1 0.000 0.000 0.000 [2 per cell]
Mn1 0.000 0.500 0.258 [4 per cell]
Fe1 0.000 0.000 0.500 [2 per cell]
O1 0.000 0.308 0.500 [4 per cell]
O2 0.000 0.311 0.000 [4 per cell]
O3 0.201 0.000 0.251 [8 per cell]

Output
calculated total energy = -7.644 eV per atom

[2]
Compound: Ta6Mn2FeO18
Source: Alexandria via LeMat-Bulk
Functional: PBE with a Hubbard U
Structure: relaxed

a b c (Å): 19.915 6.841 11.579
angles (deg): 90.00 123.87 90.00
Space group C2/m (No. 12)
Asymmetric unit:
Ta1 0.056 0.000 0.443 [4 per cell]
Ta2 0.056 0.000 0.944 [4 per cell]
Ta3 0.111 0.500 0.390 [4 per cell]
Ta4 0.111 0.500 0.889 [4 per cell]
Ta5 0.223 0.500 0.279 [4 per cell]
Ta6 0.224 0.500 0.776 [4 per cell]
Mn1 0.000 0.500 0.000 [2 per cell]
Mn2 0.000 0.500 0.500 [2 per cell]
Mn3 0.167 0.000 0.833 [4 per cell]
Fe1 0.166 0.000 0.333 [4 per cell]
O1 0.000 0.184 0.500 [4 per cell]
O2 0.008 0.500 0.699 [4 per cell]
O3 0.037 0.000 0.756 [4 per cell]
O4 0.061 0.292 0.939 [8 per cell]
O5 0.062 0.000 0.125 [4 per cell]
O6 0.106 0.208 0.394 [8 per cell]
O7 0.106 0.500 0.212 [4 per cell]
O8 0.130 0.500 0.577 [4 per cell]
O9 0.158 0.000 0.634 [4 per cell]
O10 0.167 0.316 0.833 [8 per cell]
O11 0.175 0.000 0.032 [4 per cell]
O12 0.203 0.500 0.090 [4 per cell]
O13 0.227 0.208 0.273 [8 per cell]
O14 0.230 0.500 0.460 [4 per cell]

Output
calculated total energy = -9.310 eV per atom
N(E_F) = 0.0 states/eV/f.u.

- Number 2 is which compound?
  Ta6Mn2FeO18

- Which of these has the lowest calculated total energy?
  Ta6Mn2FeO18

- Which of these has the lowest calculated total energy?
  Ta6Mn2FeO18